This record from Alexandria describes an optimized crystal structure of SrWO2. The functional is PBE with a Hubbard U.

## Properties
- offset from the most stable computed form (eV per atom) = 0.086
- magnetization (μB/cell) = 0.0
- symmetry = P1

a = 3.9658 Å, b = 5.4534 Å, c = 6.7475 Å
α = 80.24°, β = 81.41°, γ = 84.07°
Last column: nearest neighbours and their distance in Å.
Fractional coordinates of all 8 atoms:
Sr 0.0000 0.0000 0.0000  5 O 2.51-2.55
Sr 0.4213 0.4674 0.2352  5 O 2.47-2.77
W 0.3949 0.9037 0.5382  3 O 1.99-2.13
W 0.9248 0.5643 0.7047  3 O 2.02-2.14
O 0.1296 0.2504 0.5967  2 W 2.02-2.13
O 0.4477 0.9718 0.2367  1 W 1.99
O 0.5730 0.8496 0.8163  2 W 2.07-2.14
O 0.9780 0.4662 0.0135  1 W 2.10